No. 1
# CaCu2Si8O20

A PBEsol-optimized structure of CaCu2Si8O20 (SCAN, Alexandria via LeMat-Bulk).

a b c (Å): 7.2261 7.2261 15.2404
angles (deg): 90.00 90.00 90.00
Fractional coordinates of all 62 atoms:
Ca1 0.5000 0.5000 0.5000
Ca2 0.0000 0.0000 0.0000
Cu1 0.0000 0.5000 0.5870
Cu2 0.5000 0.0000 0.9130
Cu3 0.5000 0.0000 0.4130
Cu4 0.0000 0.5000 0.0870
Si1 0.6836 0.7544 0.6466
Si2 0.3164 0.2456 0.6466
Si3 0.7573 0.6853 0.8533
Si4 0.2573 0.8147 0.6467
Si5 0.7427 0.1853 0.6467
Si6 0.8164 0.2544 0.8534
Si7 0.1836 0.7456 0.8534
Si8 0.2427 0.3147 0.8533
Si9 0.8147 0.7427 0.3533
Si10 0.1853 0.2573 0.3533
Si11 0.7456 0.8164 0.1466
Si12 0.2456 0.6836 0.3534
Si13 0.7544 0.3164 0.3534
Si14 0.6853 0.2427 0.1467
Si15 0.3147 0.7573 0.1467
Si16 0.2544 0.1836 0.1466
O1 0.7676 0.5974 0.5811
O2 0.2324 0.4026 0.5811
O3 0.5941 0.7698 0.9127
O4 0.0941 0.7302 0.5873
O5 0.9059 0.2698 0.5873
O6 0.7324 0.0974 0.9189
O7 0.2676 0.9026 0.9189
O8 0.4059 0.2302 0.9127
O9 0.7302 0.9059 0.4127
O10 0.2698 0.0941 0.4127
O11 0.9026 0.7324 0.0811
O12 0.4026 0.7676 0.4189
O13 0.5974 0.2324 0.4189
O14 0.7698 0.4059 0.0873
O15 0.2302 0.5941 0.0873
O16 0.7245 0.5381 0.3765
O17 0.0974 0.2676 0.0811
O18 0.2657 0.0336 0.6250
O19 0.9619 0.7755 0.8765
O20 0.4619 0.7245 0.6235
O21 0.5381 0.2755 0.6235
O22 0.7657 0.4664 0.8750
O23 0.2343 0.5336 0.8750
O24 0.0381 0.2245 0.8765
O25 0.2115 0.2272 0.2483
O26 0.2885 0.7272 0.2517
O27 0.7115 0.2728 0.2517
O28 0.7885 0.7728 0.2483
O29 0.2728 0.2885 0.7483
O30 0.2272 0.7885 0.7517
O31 0.7728 0.2115 0.7517
O32 0.7272 0.7115 0.7483
O33 0.4664 0.2343 0.1250
O34 0.2245 0.9619 0.1235
O35 0.7755 0.0381 0.1235
O36 0.9664 0.2657 0.3750
O37 0.0336 0.7343 0.3750
O38 0.5336 0.7657 0.1250
O39 0.2755 0.4619 0.3765
O40 0.7343 0.9664 0.6250

- E_form (uncorrected) (eV per formula unit) = -81.7
- SG = P-42_1c

***

No. 2
# Ca3Cu5Si9O26

A PBEsol-optimized structure of Ca3Cu5Si9O26 (SCAN, Alexandria via LeMat-Bulk).

a b c (Å): 7.1238 7.1238 20.0224
angles (deg): 88.99 88.99 89.33
Each line ends with the local moment (μB).
Fractional coordinates of all 86 atoms:
Ca1 0.2684 0.7316 0.7500  0.00
Ca2 0.7316 0.2684 0.2500  0.00
Ca3 0.7603 0.2872 0.9302  0.00
Ca4 0.7128 0.2397 0.5698  0.00
Ca5 0.2397 0.7128 0.0698  0.00
Ca6 0.2872 0.7603 0.4302  0.00
Cu1 0.5000 0.0000 0.0000  0.71
Cu2 0.0000 0.5000 0.5000  0.71
Cu3 0.5092 0.0277 0.8388  0.72
Cu4 0.9723 0.4908 0.6612  0.72
Cu5 0.4908 0.9723 0.1612  0.72
Cu6 0.0277 0.5092 0.3388  0.72
Cu7 0.0144 0.0384 0.8301  0.73
Cu8 0.9616 0.9856 0.6699  0.73
Cu9 0.9856 0.9616 0.1699  0.73
Cu10 0.0384 0.0144 0.3301  0.73
Si1 0.2494 0.7585 0.9119  0.00
Si2 0.2415 0.7506 0.5881  0.00
Si3 0.7506 0.2415 0.0881  0.00
Si4 0.7585 0.2494 0.4119  0.00
Si5 0.2556 0.3474 0.9052  0.00
Si6 0.6526 0.7444 0.5948  0.00
Si7 0.7444 0.6526 0.0948  0.00
Si8 0.3474 0.2556 0.4052  0.00
Si9 0.2395 0.3054 0.1943  0.00
Si10 0.6946 0.7605 0.3057  0.00
Si11 0.7605 0.6946 0.8057  0.00
Si12 0.3054 0.2395 0.6943  0.00
Si13 0.2796 0.7204 0.2500  0.00
Si14 0.7204 0.2796 0.7500  0.00
Si15 0.1798 0.2487 0.0491  0.00
Si16 0.7513 0.8202 0.4509  0.00
Si17 0.8202 0.7513 0.9509  0.00
Si18 0.2487 0.1798 0.5491  0.00
O1 0.2625 0.5607 0.8702  0.01
O2 0.4393 0.7375 0.6298  0.01
O3 0.7375 0.4393 0.1298  0.01
O4 0.5607 0.2625 0.3702  0.01
O5 0.2564 0.9208 0.8529  0.13
O6 0.0792 0.7436 0.6471  0.13
O7 0.7436 0.0792 0.1471  0.13
O8 0.9208 0.2564 0.3529  0.13
O9 0.2367 0.8503 0.1836  0.12
O10 0.1497 0.7633 0.3164  0.12
O11 0.7633 0.1497 0.8164  0.12
O12 0.8503 0.2367 0.6836  0.12
O13 0.4068 0.7688 0.9681  0.06
O14 0.2312 0.5932 0.5319  0.06
O15 0.5932 0.2312 0.0319  0.06
O16 0.7688 0.4068 0.4681  0.06
O17 0.4337 0.1939 0.2092  0.06
O18 0.8061 0.5663 0.2908  0.06
O19 0.5663 0.8061 0.7908  0.06
O20 0.1939 0.4337 0.7092  0.06
O21 0.4544 0.2418 0.8912  0.05
O22 0.7582 0.5456 0.6088  0.05
O23 0.5456 0.7582 0.1088  0.05
O24 0.2418 0.4544 0.3912  0.05
O25 0.0486 0.1929 0.2136  0.06
O26 0.8071 0.9514 0.2864  0.06
O27 0.9514 0.8071 0.7864  0.06
O28 0.1929 0.0486 0.7136  0.06
O29 0.2360 0.3902 0.9867  0.01
O30 0.6098 0.7640 0.5133  0.01
O31 0.7640 0.6098 0.0133  0.01
O32 0.3902 0.2360 0.4867  0.01
O33 0.2302 0.3779 0.1142  0.00
O34 0.6221 0.7698 0.3858  0.00
O35 0.7698 0.6221 0.8858  0.00
O36 0.3779 0.2302 0.6142  0.00
O37 0.2437 0.4997 0.2362  0.01
O38 0.5003 0.7563 0.2638  0.01
O39 0.7563 0.5003 0.7638  0.01
O40 0.4997 0.2437 0.7362  0.01
O41 0.2682 0.0399 0.0508  0.06
O42 0.9601 0.7318 0.4492  0.06
O43 0.7318 0.9601 0.9492  0.06
O44 0.0399 0.2682 0.5508  0.06
O45 0.0498 0.7671 0.9544  0.00
O46 0.2329 0.9502 0.5456  0.00
O47 0.9502 0.2329 0.0456  0.00
O48 0.7671 0.0498 0.4544  0.00
O49 0.7528 0.9368 0.6154  0.06
O50 0.0632 0.2472 0.8846  0.06
O51 0.2472 0.0632 0.3846  0.06
O52 0.9368 0.7528 0.1154  0.06

- E_form (uncorrected) (eV per formula unit) = -112.0
- SG = C2/c

***

No. 3
# CaCu2SnO

A PBEsol-optimized structure of CaCu2SnO (SCAN, Alexandria via LeMat-Bulk).

a b c (Å): 4.0545 5.0265 5.0265
angles (deg): 90.00 90.00 90.00
Each line ends with the local moment (μB).
Fractional coordinates of all 5 atoms:
O1 0.5000 0.0000 0.0000  0.11
Ca1 0.0000 0.0000 0.0000  0.00
Sn1 0.5000 0.5000 0.5000  0.00
Cu1 0.0000 0.0000 0.5000  0.00
Cu2 0.0000 0.5000 0.0000  0.00

- E_form (uncorrected) (eV per formula unit) = 1.8
- SG = P4/mmm

***

No. 4
# SrCaCuO3

A PBEsol-optimized structure of SrCaCuO3 (SCAN, Alexandria via LeMat-Bulk).

a b c (Å): 3.3665 3.8548 6.6436
angles (deg): 106.86 104.67 90.00
Fractional coordinates of all 6 atoms:
Sr1 0.3515 0.8515 0.7030
Ca1 0.6469 0.1469 0.2939
O1 0.1552 0.6552 0.3104
O2 0.8399 0.3399 0.6799
O3 0.0064 0.0064 0.0129
Cu1 0.9999 0.4999 0.9999

- E_form (uncorrected) (eV per formula unit) = -14.2
- SG = Imm2

***

No. 5
# SrCa2CuO

A PBEsol-optimized structure of SrCa2CuO (SCAN, Alexandria via LeMat-Bulk).

a b c (Å): 3.6424 6.3683 6.3683
angles (deg): 90.00 90.00 90.00
Fractional coordinates of all 5 atoms:
Sr1 0.5000 0.5000 0.5000
Ca1 0.0000 0.0000 0.5000
Ca2 0.0000 0.5000 0.0000
O1 0.5000 0.0000 0.0000
Cu1 0.0000 0.0000 0.0000

- E_form (uncorrected) (eV per formula unit) = -0.2
- SG = P4/mmm

***

No. 6
# SrCa3Cu2O6

A PBEsol-optimized structure of SrCa3Cu2O6 (SCAN, Alexandria via LeMat-Bulk).

a b c (Å): 3.8072 6.5772 6.6023
angles (deg): 104.49 90.00 106.82
Fractional coordinates of all 12 atoms:
Sr1 0.8517 0.7035 0.1764
Ca1 0.8508 0.7015 0.6748
Ca2 0.1489 0.2978 0.8219
Ca3 0.1474 0.2949 0.3268
Cu1 0.4990 0.9980 0.9897
Cu2 0.5009 0.0017 0.5101
O1 0.6601 0.3202 0.5801
O2 0.6553 0.3106 0.0783
O3 0.3396 0.6792 0.4314
O4 0.3398 0.6797 0.9082
O5 0.0037 0.0074 0.5101
O6 0.0027 0.0054 0.9923

- E_form (uncorrected) (eV per formula unit) = -28.7
- SG = Cm

***

Number 1: electronic total energy -10.532 eV per atom. Number 2: electronic total energy -10.910 eV per atom. Number 3: electronic total energy -16.088 eV per atom. Number 4: electronic total energy -13.331 eV per atom. Number 5: electronic total energy -12.638 eV per atom. Number 6: electronic total energy -12.314 eV per atom.